No. 1
{
  "formula": "Nd3InP",
  "functional": "PBE",
  "state": "optimized geometry",
  "lattice_angstrom": [[-1.6059, 0.8935, -4.2466], [-5.2926, -4.4885, 1.0571], [-5.1079, 6.8555, 3.3740]],
  "species": ["Nd", "Nd", "Nd", "Nd", "Nd", "Nd", "P", "P", "In", "In"],
  "fractional_positions": [[0.2500, 0.2512, 0.9219], [0.7500, 0.7488, 0.0781], [0.2500, 0.0049, 0.3379], [0.7500, 0.9951, 0.6621], [0.2500, 0.4950, 0.3385], [0.7500, 0.5050, 0.6615], [0.7500, 0.7502, 0.3963], [0.2500, 0.2498, 0.6037], [0.2500, 0.7506, 0.8489], [0.7500, 0.2494, 0.1511]],
  "spacegroup": "P2_1/m",
  "formation_enthalpy_0k_mev_per_atom": -746,
  "polymorph_energy_mev_per_atom": 0
}



No. 2
{
  "formula": "Nd2InP",
  "functional": "PBE",
  "state": "optimized geometry",
  "lattice_angstrom": [[4.0809, 0.0000, 0.0000], [2.0404, 3.5342, 0.0000], [2.0404, 1.1781, 8.0527]],
  "species": ["P", "Nd", "Nd", "In"],
  "fractional_positions": [[0.0000, 0.0000, 0.0000], [0.2647, 0.2647, 0.2058], [0.7353, 0.7353, 0.7942], [0.5000, 0.5000, 0.5000]],
  "spacegroup": "R-3m",
  "formation_enthalpy_0k_mev_per_atom": -951
}



No. 3
{
  "formula": "NdIn2P2Pt7",
  "functional": "PBE",
  "state": "optimized geometry",
  "lattice_angstrom": [[4.0095, -0.0199, 0.1227], [-0.0151, 4.0095, 0.1227], [2.4879, 2.4848, 14.5503]],
  "species": ["P", "P", "Pt", "Pt", "Pt", "Pt", "Pt", "Pt", "Pt", "In", "In", "Nd"],
  "fractional_positions": [[0.6788, 0.6788, 0.7514], [0.3212, 0.3212, 0.2486], [0.1136, 0.6149, 0.8404], [0.6149, 0.1136, 0.8404], [0.8864, 0.3851, 0.1596], [0.3851, 0.8864, 0.1596], [0.1951, 0.1951, 0.4070], [0.8049, 0.8049, 0.5930], [0.5000, 0.5000, 0.0000], [0.2934, 0.2934, 0.5900], [0.7066, 0.7066, 0.4100], [0.0000, 0.0000, 0.0000]],
  "spacegroup": "C2/m",
  "formation_enthalpy_0k_mev_per_atom": -591
}



No. 4
{
  "formula": "Nd6InP2Se3",
  "functional": "PBE",
  "state": "optimized geometry",
  "lattice_angstrom": [[4.2069, 0.0000, 0.0000], [0.0000, 8.6403, 0.3010], [-2.1034, -2.4993, 8.9753]],
  "species": ["Nd", "Nd", "Nd", "Nd", "Nd", "Nd", "Se", "Se", "Se", "P", "P", "In"],
  "fractional_positions": [[0.3290, 0.9000, 0.6579], [0.9950, 0.7359, 0.9899], [0.0050, 0.2641, 0.0101], [0.6717, 0.5721, 0.3433], [0.6710, 0.1000, 0.3421], [0.3283, 0.4279, 0.6567], [0.1656, 0.8311, 0.3311], [0.8344, 0.1689, 0.6689], [0.5000, 0.5000, 0.0000], [0.1684, 0.3359, 0.3369], [0.8316, 0.6641, 0.6631], [0.5000, 0.0000, 0.0000]],
  "spacegroup": "C2/m",
  "e_form_raw_kcal_per_mol_atoms": -34.956
}



What energy values result from the calculations? In sequence: -5.24 -5.37 -5.87 -5.90 eV/atom.